Sr2InCu2 | PBE | optimized geometry

a b c (Å): 6.033 6.033 5.753
angles (deg): 58.38 58.38 90.00
Sites, in units of the cell vectors:
Cu  0.348  0.348  0.304
Sr  0.750  0.250  0.500
In  0.000  0.000  0.000
Cu  0.652  0.652  0.696
Sr  0.250  0.750  0.500

Theoretical density (g/cm3): 4.9
DOS(E_F) (states/eV/cell): 3.72
Raw total energy (eV per atom): -2.934
V (A^3/atom): 28.10
Total moment (Bohr magnetons per cell): 0.000